Y3Er2TmP6 after structural relaxation, computed with PBE.

Values from the calculation:
Final energy = -84.87 eV/cell
Calculated formation energy = -1.619 eV per atom

Lattice parameters (Å, degrees): 6.906 6.906 6.908 99.58 99.58 119.99
Fractional positions:
Er1 0.333 0.667 0.000
Y1 0.500 0.500 0.500
Er2 0.667 0.333 0.000
P1 0.750 0.750 0.247
P2 0.918 0.585 0.754
P3 0.585 0.918 0.754
P4 0.415 0.082 0.246
P5 0.250 0.250 0.753
Tm1 0.000 0.000 0.000
Y2 0.167 0.833 0.500
P6 0.082 0.415 0.246
Y3 0.833 0.167 0.500